## Ca2NpRuO6 (PBE)

Data for an optimized crystal structure of Ca2NpRuO6.

```
Ca2NpRuO6
1.0
-1.733 -2.566 -2.904
4.484 -3.627 0.529
-2.801 -2.852 4.190
Ru O Ca Np
1 6 2 1
Cartesian
-0.328 -4.971 0.399
-0.768 -3.416 -0.806
-2.147 -4.819 1.256
1.438 -5.201 -0.546
-0.253 -0.374 -0.424
0.060 -6.604 1.516
0.541 -3.685 1.855
-1.448 -1.497 2.015
2.194 -1.884 0.184
-1.103 -1.633 -1.849
```

Output
* symmetry: No. 99
* final energy: -0.2897 Ha/atom
* raw formation energy: -2.29 eV per atom